# PrTaAu PBE-GGA optimized geometry
data_PrTaAu
_chemical_formula_sum 'Pr4 Ta4 Au4'
_cell_length_a 6.9017
_cell_length_b 6.9017
_cell_length_c 6.9017
_cell_angle_alpha 90.00
_cell_angle_beta 90.00
_cell_angle_gamma 90.00
_symmetry_space_group_name_H-M 'F -4 3 m'
_symmetry_Int_Tables_number 216
_symmetry_space_group_name_Hall 'F -4 2 3'
loop_
_atom_site_label
_atom_site_type_symbol
_atom_site_fract_x
_atom_site_fract_y
_atom_site_fract_z
_atom_site_occupancy
Pr1 Pr 0.0000 0.0000 0.0000 1
Ta1 Ta 0.2500 0.2500 0.2500 1
Au1 Au 0.2500 0.2500 0.7500 1
# Formation enthalpy at 0 K (eV per atom): 1.157